# 1
# YHo2Co (PBE, relaxed)
data_YHo2Co
_chemical_formula_sum 'Y3 Ho6 Co3'
_symmetry_space_group_name_H-M 'R 3 m'
_symmetry_Int_Tables_number 160
_symmetry_space_group_name_Hall 'R 3 -2"'
_cell_length_a 3.7572
_cell_length_b 3.7572
_cell_length_c 26.6812
_cell_angle_alpha 90.00
_cell_angle_beta 90.00
_cell_angle_gamma 120.00
loop_
_atom_site_label
_atom_site_fract_x
_atom_site_fract_y
_atom_site_fract_z
Y1 0.0000 0.0000 0.0000
Ho1 0.0000 0.0000 0.2251
Ho2 0.0000 0.0000 0.4452
Co1 0.0000 0.0000 0.8353
# - Energy relative to the lowest polymorph listed for this composition: 14.7 kJ/mol of atoms
# - Electronic total energy: -68.34 eV/cell
# - Formation energy from the elements: -0.013 eV/atom

# 2
# ZrTaSe2 (PBE, relaxed)
data_ZrTaSe2
_chemical_formula_sum 'Zr1 Ta1 Se2'
_symmetry_space_group_name_H-M 'P m m m'
_symmetry_Int_Tables_number 47
_cell_length_a 3.3233
_cell_length_b 3.3489
_cell_length_c 7.1167
_cell_angle_alpha 90.00
_cell_angle_beta 90.00
_cell_angle_gamma 90.00
loop_
_symmetry_equiv_pos_as_xyz
'x,y,z'
'-x,-y,-z'
'-x,-y,z'
'x,y,-z'
'x,-y,-z'
'-x,y,z'
'-x,y,-z'
'x,-y,z'
loop_
_atom_site_label
_atom_site_fract_x
_atom_site_fract_y
_atom_site_fract_z
Zr1 0.0000 0.0000 0.0000
Ta1 0.5000 0.0000 0.5000
Se1 0.5000 0.5000 0.2174
# - E_form (uncorrected): -565 meV per atom
# - Energy relative to the lowest polymorph listed for this composition: 17.2 kJ/mol of atoms
# - Electronic total energy: -29.63 eV/cell

# 3
# TcMoSe2N (PBE, relaxed)
data_TcMoSe2N
_chemical_formula_sum 'Tc1 Mo1 Se2 N1'
_symmetry_space_group_name_H-M 'P 4/m m m'
_symmetry_Int_Tables_number 123
_symmetry_space_group_name_Hall '-P 4 2'
_cell_length_a 5.0787
_cell_length_b 5.0787
_cell_length_c 3.7708
_cell_angle_alpha 90.00
_cell_angle_beta 90.00
_cell_angle_gamma 90.00
loop_
_atom_site_label
_atom_site_fract_x
_atom_site_fract_y
_atom_site_fract_z
Tc1 0.0000 0.0000 0.0000
Mo1 0.5000 0.5000 0.5000
Se1 0.0000 0.5000 0.5000
N1 0.5000 0.5000 0.0000
# - E_form (uncorrected): 703 meV per atom
# - Energy relative to the lowest polymorph listed for this composition: 2.5 kJ/mol of atoms
# - Electronic total energy: -32.98 eV/cell

# 4
# CeThBiTe2 (PBE, relaxed)
data_CeThBiTe2
_chemical_formula_sum 'Ce2 Th2 Bi2 Te4'
_symmetry_space_group_name_H-M 'I 4 m m'
_symmetry_Int_Tables_number 107
_symmetry_space_group_name_Hall 'I 4 -2'
_cell_length_a 4.7061
_cell_length_b 4.7061
_cell_length_c 15.3797
_cell_angle_alpha 90.00
_cell_angle_beta 90.00
_cell_angle_gamma 90.00
loop_
_atom_site_label
_atom_site_fract_x
_atom_site_fract_y
_atom_site_fract_z
Ce1 0.0000 0.0000 0.0000
Th1 0.0000 0.0000 0.2301
Bi1 0.0000 0.0000 0.6230
Te1 0.0000 0.5000 0.3653
# - E_form (uncorrected): -653 meV per atom
# - Electronic total energy: -53.56 eV/cell

# 5
# NdMgAg2Au4 (PBE, relaxed)
data_NdMgAg2Au4
_chemical_formula_sum 'Nd3 Mg3 Ag6 Au12'
_symmetry_space_group_name_H-M 'R -3 m'
_symmetry_Int_Tables_number 166
_symmetry_space_group_name_Hall '-R 3 2"'
_cell_length_a 4.8384
_cell_length_b 4.8384
_cell_length_c 23.7748
_cell_angle_alpha 90.00
_cell_angle_beta 90.00
_cell_angle_gamma 120.00
loop_
_atom_site_label
_atom_site_fract_x
_atom_site_fract_y
_atom_site_fract_z
Nd1 0.0000 0.0000 0.0000
Mg1 0.0000 0.0000 0.5000
Ag1 0.0000 0.0000 0.2514
Au1 0.0000 0.0000 0.1310
Au2 0.0000 0.0000 0.3851
# - Electronic total energy: -85.86 eV/cell
# - Formation energy from the elements: -0.431 eV/atom

# 6
# CeNd2Te (PBE, relaxed)
data_CeNd2Te
_chemical_formula_sum 'Ce1 Nd2 Te1'
_symmetry_space_group_name_H-M 'P 4/m m m'
_symmetry_Int_Tables_number 123
_symmetry_space_group_name_Hall '-P 4 2'
_cell_length_a 3.9498
_cell_length_b 3.9498
_cell_length_c 8.0140
_cell_angle_alpha 90.00
_cell_angle_beta 90.00
_cell_angle_gamma 90.00
loop_
_atom_site_label
_atom_site_fract_x
_atom_site_fract_y
_atom_site_fract_z
Ce1 0.0000 0.0000 0.0000
Nd1 0.5000 0.5000 0.2755
Te1 0.0000 0.0000 0.5000
# - E_form (uncorrected): -540 meV per atom
# - Energy relative to the lowest polymorph listed for this composition: 0.0 kJ/mol of atoms
# - Electronic total energy: -20.77 eV/cell